one:
The following is a DFT calculation (PBE-GGA) of an optimized crystal structure of CdRu2.

Values from the calculation:
Symmetry ... Cmcm (63)
Calculated density ... 10.9 Mg/m³
M_tot ... 0.0000 μB per atom

```
CdRu2
1.0
1.901 -6.309 0.000
1.901 6.309 0.000
0.000 0.000 3.982
Cd Ru
2 4
Direct
0.081 0.919 0.750 Cd
0.919 0.081 0.250 Cd
0.250 0.750 0.250 Ru
0.397 0.603 0.750 Ru
0.603 0.397 0.250 Ru
0.750 0.250 0.750 Ru
```

***

two:
The following is a DFT calculation (PBE-GGA) of an optimized crystal structure of CdRu2.

Values from the calculation:
Symmetry ... Pnma (62)
Calculated density ... 10.9 Mg/m³
M_tot ... 0.0001 μB per atom

```
CdRu2
1.0
5.660 0.000 0.000
0.000 3.946 0.000
0.000 0.000 8.573
Cd Ru
4 8
Direct
0.114 0.250 0.086 Cd
0.386 0.750 0.586 Cd
0.614 0.250 0.414 Cd
0.886 0.750 0.914 Cd
0.103 0.250 0.418 Ru
0.113 0.250 0.729 Ru
0.387 0.750 0.229 Ru
0.397 0.750 0.918 Ru
0.603 0.250 0.082 Ru
0.613 0.250 0.771 Ru
0.887 0.750 0.271 Ru
0.897 0.750 0.582 Ru
```

***

three:
The following is a DFT calculation (PBE-GGA) of an optimized crystal structure of CdRu2.

Values from the calculation:
Symmetry ... P6_3/mmc (194)
Calculated density ... 10.8 Mg/m³
M_tot ... 0.4492 μB per atom

```
CdRu2
1.0
4.566 0.000 0.000
-2.283 3.954 0.000
0.000 0.000 5.366
Cd Ru
2 4
Direct
0.333 0.667 0.250 Cd
0.667 0.333 0.750 Cd
0.000 0.000 0.000 Ru
0.000 0.000 0.500 Ru
0.333 0.667 0.750 Ru
0.667 0.333 0.250 Ru
```

***

four:
The following is a DFT calculation (PBE-GGA) of an optimized crystal structure of CdRu2.

Values from the calculation:
Symmetry ... Immm (71)
Calculated density ... 10.7 Mg/m³
M_tot ... 0.0000 μB per atom

```
CdRu2
1.0
-1.416 1.801 4.784
1.416 -1.801 4.784
1.416 1.801 -4.784
Cd Ru
1 2
Direct
0.000 0.000 0.000 Cd
0.311 0.311 0.000 Ru
0.689 0.689 0.000 Ru
```

***

Of them, three has the lowest stability.

***

one:
The following is a DFT calculation (PBE-GGA) of an optimized crystal structure of Cd5Ru.

Values from the calculation:
Symmetry ... F-43m (216)
Calculated density ... 9.0 Mg/m³
M_tot ... 0.0002 μB per atom

```
Cd5Ru
1.0
0.000 3.937 3.937
3.937 0.000 3.937
3.937 3.937 0.000
Cd Ru
5 1
Direct
0.000 0.000 0.000 Cd
0.376 0.376 0.376 Cd
0.376 0.376 0.873 Cd
0.376 0.873 0.376 Cd
0.873 0.376 0.376 Cd
0.750 0.750 0.750 Ru
```

***

two:
The following is a DFT calculation (PBE-GGA) of an optimized crystal structure of Cd5Ru.

Values from the calculation:
Symmetry ... Amm2 (38)
Calculated density ... 9.1 Mg/m³
M_tot ... 0.1330 μB per atom

```
Cd5Ru
1.0
4.796 0.000 0.000
0.000 1.521 8.309
0.000 -1.521 8.309
Cd Ru
5 1
Direct
0.000 0.000 0.000 Cd
0.000 0.301 0.301 Cd
0.500 0.198 0.198 Cd
0.500 0.547 0.547 Cd
0.500 0.877 0.877 Cd
0.000 0.650 0.650 Ru
```

***

Of them, one has the lowest stability.

***

one:
The following is a DFT calculation (PBE-GGA) of an optimized crystal structure of Cd5Ru.

Values from the calculation:
Symmetry ... Cmmm (65)
Calculated density ... 9.3 Mg/m³
M_tot ... 0.0000 μB per atom

```
Cd5Ru
1.0
2.116 -6.528 0.000
2.116 6.528 0.000
0.000 0.000 4.270
Cd Ru
5 1
Direct
0.000 0.000 0.000 Cd
0.158 0.842 0.500 Cd
0.341 0.659 0.000 Cd
0.659 0.341 0.000 Cd
0.842 0.158 0.500 Cd
0.500 0.500 0.500 Ru
```

***

two:
The following is a DFT calculation (PBE-GGA) of an optimized crystal structure of Cd5Ru.

Values from the calculation:
Symmetry ... P6/mmm (191)
Calculated density ... 8.5 Mg/m³
M_tot ... 0.2476 μB per atom

```
Cd5Ru
1.0
5.512 0.000 0.000
-2.756 4.774 0.000
0.000 0.000 4.952
Cd Ru
5 1
Direct
0.000 0.500 0.000 Cd
0.333 0.667 0.500 Cd
0.500 0.000 0.000 Cd
0.500 0.500 0.000 Cd
0.667 0.333 0.500 Cd
0.000 0.000 0.500 Ru
```

***

three:
The following is a DFT calculation (PBE-GGA) of an optimized crystal structure of Cd5Ru.

Values from the calculation:
Symmetry ... Cm (8)
Calculated density ... 9.2 Mg/m³
M_tot ... 0.1550 μB per atom

```
Cd5Ru
1.0
5.652 -1.522 0.000
5.652 1.522 0.000
-2.083 0.000 6.958
Cd Ru
5 1
Direct
0.000 0.000 0.000 Cd
0.041 0.041 0.620 Cd
0.310 0.310 0.697 Cd
0.375 0.375 0.259 Cd
0.664 0.664 0.336 Cd
0.710 0.710 0.956 Ru
```

***

Of them, two has the lowest stability.

***

one:
The following is a DFT calculation (PBE-GGA) of an optimized crystal structure of Cd5Ru3.

Values from the calculation:
Symmetry ... P6_3/mcm (193)
Calculated density ... 9.6 Mg/m³
M_tot ... 0.2044 μB per atom

```
Cd5Ru3
1.0
8.062 0.000 0.000
-4.031 6.982 0.000
0.000 0.000 5.291
Cd Ru
10 6
Direct
0.000 0.240 0.250 Cd
0.000 0.760 0.750 Cd
0.240 0.000 0.250 Cd
0.240 0.240 0.750 Cd
0.333 0.667 0.000 Cd
0.333 0.667 0.500 Cd
0.667 0.333 0.000 Cd
0.667 0.333 0.500 Cd
0.760 0.000 0.750 Cd
0.760 0.760 0.250 Cd
0.000 0.404 0.750 Ru
0.000 0.596 0.250 Ru
0.404 0.000 0.750 Ru
0.404 0.404 0.250 Ru
0.596 0.000 0.250 Ru
0.596 0.596 0.750 Ru
```

***

two:
The following is a DFT calculation (PBE-GGA) of an optimized crystal structure of Cd5Ru3.

Values from the calculation:
Symmetry ... C2/m (12)
Calculated density ... 9.8 Mg/m³
M_tot ... 0.0000 μB per atom

```
Cd5Ru3
1.0
2.553 -7.572 0.000
2.553 7.572 0.000
-2.538 0.000 7.572
Cd Ru
10 6
Direct
0.077 0.727 0.804 Cd
0.227 0.423 0.650 Cd
0.249 0.249 0.999 Cd
0.273 0.923 0.196 Cd
0.423 0.227 0.650 Cd
0.577 0.773 0.350 Cd
0.727 0.077 0.804 Cd
0.751 0.751 0.001 Cd
0.773 0.577 0.350 Cd
0.923 0.273 0.196 Cd
0.170 0.170 0.340 Ru
0.250 0.750 0.500 Ru
0.330 0.670 0.000 Ru
0.670 0.330 0.000 Ru
0.750 0.250 0.500 Ru
0.830 0.830 0.660 Ru
```

***

Of them, two has the lowest stability.

***

one:
The following is a DFT calculation (PBE-GGA) of an optimized crystal structure of CdRu4.

Values from the calculation:
Symmetry ... Pm-3m (221)
Calculated density ... 7.7 Mg/m³
M_tot ... 1.6364 μB per atom

```
CdRu4
1.0
4.815 0.000 0.000
0.000 4.815 0.000
0.000 0.000 4.815
Cd Ru
1 4
Direct
0.000 0.000 0.000 Cd
0.000 0.000 0.500 Ru
0.000 0.500 0.000 Ru
0.500 0.000 0.000 Ru
0.500 0.500 0.500 Ru
```

***

two:
The following is a DFT calculation (PBE-GGA) of an optimized crystal structure of CdRu4.

Values from the calculation:
Symmetry ... I4/mmm (139)
Calculated density ... 10.2 Mg/m³
M_tot ... 0.0000 μB per atom

```
CdRu4
1.0
-1.932 1.932 5.640
1.932 -1.932 5.640
1.932 1.932 -5.640
Cd Ru
1 4
Direct
0.000 0.000 0.000 Cd
0.250 0.750 0.500 Ru
0.397 0.397 0.000 Ru
0.603 0.603 0.000 Ru
0.750 0.250 0.500 Ru
```

***

Of them, one has the lowest stability.

***

one:
The following is a DFT calculation (PBE-GGA) of an optimized crystal structure of CdRu2S.

Values from the calculation:
Symmetry ... Fm-3m (225)
Calculated density ... 9.5 Mg/m³
M_tot ... 0.0000 μB per atom

```
CdRu2S
1.0
0.000 3.117 3.117
3.117 0.000 3.117
3.117 3.117 0.000
Cd Ru S
1 2 1
Direct
0.000 0.000 0.000 Cd
0.250 0.250 0.250 Ru
0.750 0.750 0.750 Ru
0.500 0.500 0.500 S
```

***

two:
The following is a DFT calculation (PBE-GGA) of an optimized crystal structure of CdRu2S.

Values from the calculation:
Symmetry ... I-42d (122)
Calculated density ... 8.6 Mg/m³
M_tot ... 0.0000 μB per atom

```
CdRu2S
1.0
-3.435 3.435 2.850
3.435 -3.435 2.850
3.435 3.435 -2.850
Cd Ru S
2 4 2
Direct
0.000 0.000 0.000 Cd
0.750 0.250 0.500 Cd
0.208 0.625 0.083 Ru
0.375 0.458 0.583 Ru
0.542 0.125 0.917 Ru
0.875 0.792 0.417 Ru
0.250 0.750 0.500 S
0.500 0.500 0.000 S
```

***

Of them, one has the lowest stability.

***

one:
The following is a DFT calculation (PBE-GGA) of an optimized crystal structure of CdSb2Ru2.

Values from the calculation:
Symmetry ... P4/mbm (127)
Calculated density ... 9.8 Mg/m³
M_tot ... 0.0000 μB per atom

```
CdSb2Ru2
1.0
7.642 0.000 0.000
0.000 7.642 0.000
0.000 0.000 3.240
Cd Sb Ru
2 4 4
Direct
0.000 0.000 0.000 Cd
0.500 0.500 0.000 Cd
0.151 0.349 0.500 Sb
0.349 0.849 0.500 Sb
0.651 0.151 0.500 Sb
0.849 0.651 0.500 Sb
0.143 0.643 0.000 Ru
0.357 0.143 0.000 Ru
0.643 0.857 0.000 Ru
0.857 0.357 0.000 Ru
```

***

two:
The following is a DFT calculation (PBE-GGA) of an optimized crystal structure of CdSb2Ru2.

Values from the calculation:
Symmetry ... I4/mmm (139)
Calculated density ... 8.9 Mg/m³
M_tot ... 0.0000 μB per atom

```
CdSb2Ru2
1.0
-2.136 2.136 5.736
2.136 -2.136 5.736
2.136 2.136 -5.736
Cd Sb Ru
1 2 2
Direct
0.000 0.000 0.000 Cd
0.250 0.750 0.500 Sb
0.750 0.250 0.500 Sb
0.387 0.387 0.000 Ru
0.613 0.613 0.000 Ru
```

***

Of them, two has the lowest stability.

***

one:
The following is a DFT calculation (PBE-GGA) of an optimized crystal structure of CdSb3Ru.

Values from the calculation:
Symmetry ... Pm-3m (221)
Calculated density ... 6.9 Mg/m³
M_tot ... 0.0000 μB per atom

```
CdSb3Ru
1.0
5.172 0.000 0.000
0.000 5.172 0.000
0.000 0.000 5.172
Cd Sb Ru
1 3 1
Direct
0.000 0.000 0.000 Cd
0.000 0.500 0.500 Sb
0.500 0.000 0.500 Sb
0.500 0.500 0.000 Sb
0.500 0.500 0.500 Ru
```

***

two:
The following is a DFT calculation (PBE-GGA) of an optimized crystal structure of CdSb3Ru.

Values from the calculation:
Symmetry ... Pm-3m (221)
Calculated density ... 6.1 Mg/m³
M_tot ... 0.4120 μB per atom

```
CdSb3Ru
1.0
5.407 0.000 0.000
0.000 5.407 0.000
0.000 0.000 5.407
Cd Sb Ru
1 3 1
Direct
0.000 0.000 0.000 Cd
0.000 0.000 0.500 Sb
0.000 0.500 0.000 Sb
0.500 0.000 0.000 Sb
0.500 0.500 0.500 Ru
```

***

Of them, two has the lowest stability.

***

one:
The following is a DFT calculation (PBE-GGA) of an optimized crystal structure of Sc4CdRu.

Values from the calculation:
Symmetry ... P4/mmm (123)
Calculated density ... 5.1 Mg/m³
M_tot ... 0.1567 μB per atom

```
Sc4CdRu
1.0
3.264 0.000 0.000
0.000 3.264 0.000
0.000 0.000 12.035
Sc Cd Ru
4 1 1
Direct
0.000 0.000 0.127 Sc
0.000 0.000 0.873 Sc
0.500 0.500 0.330 Sc
0.500 0.500 0.670 Sc
0.000 0.000 0.500 Cd
0.500 0.500 0.000 Ru
```

***

two:
The following is a DFT calculation (PBE-GGA) of an optimized crystal structure of Sc4CdRu.

Values from the calculation:
Symmetry ... C2/m (12)
Calculated density ... 4.5 Mg/m³
M_tot ... 0.0000 μB per atom

```
Sc4CdRu
1.0
4.148 -2.365 0.000
4.148 2.365 0.000
-2.737 0.000 7.377
Sc Cd Ru
4 1 1
Direct
0.116 0.116 0.343 Sc
0.364 0.364 0.091 Sc
0.636 0.636 0.909 Sc
0.884 0.884 0.657 Sc
0.500 0.500 0.500 Cd
0.000 0.000 0.000 Ru
```

***

three:
The following is a DFT calculation (PBE-GGA) of an optimized crystal structure of Sc4CdRu.

Values from the calculation:
Symmetry ... F-43m (216)
Calculated density ... 5.3 Mg/m³
M_tot ... 0.0007 μB per atom

```
Sc4CdRu
1.0
0.000 3.955 3.955
3.955 0.000 3.955
3.955 3.955 0.000
Sc Cd Ru
4 1 1
Direct
0.377 0.377 0.377 Sc
0.377 0.377 0.869 Sc
0.377 0.869 0.377 Sc
0.869 0.377 0.377 Sc
0.000 0.000 0.000 Cd
0.750 0.750 0.750 Ru
```

***

Of them, three has the lowest stability.

***

one:
The following is a DFT calculation (PBE-GGA) of an optimized crystal structure of ScCdRu3.

Values from the calculation:
Symmetry ... Pm-3m (221)
Calculated density ... 7.6 Mg/m³
M_tot ... 0.6797 μB per atom

```
ScCdRu3
1.0
4.661 0.000 0.000
0.000 4.661 0.000
0.000 0.000 4.661
Sc Cd Ru
1 1 3
Direct
0.000 0.000 0.000 Sc
0.500 0.500 0.500 Cd
0.000 0.000 0.500 Ru
0.000 0.500 0.000 Ru
0.500 0.000 0.000 Ru
```

***

two:
The following is a DFT calculation (PBE-GGA) of an optimized crystal structure of ScCdRu3.

Values from the calculation:
Symmetry ... Pm-3m (221)
Calculated density ... 6.7 Mg/m³
M_tot ... 0.9200 μB per atom

```
ScCdRu3
1.0
4.843 0.000 0.000
0.000 4.843 0.000
0.000 0.000 4.843
Sc Cd Ru
1 1 3
Direct
0.000 0.000 0.000 Sc
0.500 0.500 0.500 Cd
0.000 0.500 0.500 Ru
0.500 0.000 0.500 Ru
0.500 0.500 0.000 Ru
```

***

Of them, two has the lowest stability.

***

one:
The following is a DFT calculation (PBE-GGA) of an optimized crystal structure of TbScCdRu.

Values from the calculation:
Symmetry ... F-43m (216)
Calculated density ... 8.3 Mg/m³
M_tot ... 0.0000 μB per atom

```
TbScCdRu
1.0
0.000 3.472 3.472
3.472 0.000 3.472
3.472 3.472 0.000
Tb Sc Cd Ru
1 1 1 1
Direct
0.000 0.000 0.000 Tb
0.500 0.500 0.500 Sc
0.250 0.250 0.250 Cd
0.750 0.750 0.750 Ru
```

***

two:
The following is a DFT calculation (PBE-GGA) of an optimized crystal structure of TbScCdRu.

Values from the calculation:
Symmetry ... P4mm (99)
Calculated density ... 8.1 Mg/m³
M_tot ... 0.0000 μB per atom

```
TbScCdRu
1.0
3.379 0.000 0.000
0.000 3.379 0.000
0.000 0.000 7.453
Tb Sc Cd Ru
1 1 1 1
Direct
0.000 0.000 0.000 Tb
0.000 0.000 0.570 Sc
0.500 0.500 0.309 Cd
0.500 0.500 0.765 Ru
```

***

Of them, one has the lowest stability.